# PBE CuTcP, optimized geometry
# density of states at the Fermi level: 2.50 states/eV/f.u.
# crystal system: cubic
# energy above the most stable polymorph in this dataset: 82 meV per atom
# density: 7640 kg/m³
data_CuTcP
_symmetry_space_group_name_H-M 'F -4 3 m'
_symmetry_Int_Tables_number 216
_symmetry_space_group_name_Hall 'F -4 2 3'
_cell_length_a 5.511
_cell_length_b 5.511
_cell_length_c 5.511
_cell_angle_alpha 90.00
_cell_angle_beta 90.00
_cell_angle_gamma 90.00
loop_
_atom_site_label
_atom_site_type_symbol
_atom_site_fract_x
_atom_site_fract_y
_atom_site_fract_z
Cu1 Cu 0.000 0.000 0.000
Tc1 Tc 0.000 0.000 0.500
P1 P 0.250 0.250 0.250

***

# PBE Be2ZnI, optimized geometry
# density of states at the Fermi level: 3.96 states/eV/f.u.
# crystal system: tetragonal
# energy above the most stable polymorph in this dataset: 0 meV per atom
# density: 4119 kg/m³
data_Be2ZnI
_symmetry_space_group_name_H-M 'I -4 2 d'
_symmetry_Int_Tables_number 122
_symmetry_space_group_name_Hall 'I -4 2bw'
_cell_length_a 5.858
_cell_length_b 5.858
_cell_length_c 9.884
_cell_angle_alpha 90.00
_cell_angle_beta 90.00
_cell_angle_gamma 90.00
loop_
_atom_site_label
_atom_site_type_symbol
_atom_site_fract_x
_atom_site_fract_y
_atom_site_fract_z
Be1 Be 0.217 0.250 0.125
Zn1 Zn 0.000 0.000 0.000
I1 I 0.000 0.000 0.500

***

# PBE LiOsW, optimized geometry
# density of states at the Fermi level: 3.26 states/eV/f.u.
# crystal system: cubic
# energy above the most stable polymorph in this dataset: 615 meV per atom
# density: 12411 kg/m³
data_LiOsW
_symmetry_space_group_name_H-M 'F -4 3 m'
_symmetry_Int_Tables_number 216
_symmetry_space_group_name_Hall 'F -4 2 3'
_cell_length_a 5.886
_cell_length_b 5.886
_cell_length_c 5.886
_cell_angle_alpha 90.00
_cell_angle_beta 90.00
_cell_angle_gamma 90.00
loop_
_atom_site_label
_atom_site_type_symbol
_atom_site_fract_x
_atom_site_fract_y
_atom_site_fract_z
Li1 Li 0.000 0.000 0.000
Os1 Os 0.000 0.000 0.500
W1 W 0.250 0.250 0.250

***

# PBE LaTcRh, optimized geometry
# density of states at the Fermi level: 3.92 states/eV/f.u.
# crystal system: orthorhombic
# energy above the most stable polymorph in this dataset: 0 meV per atom
# density: 9178 kg/m³
data_LaTcRh
_symmetry_space_group_name_H-M 'C m m m'
_symmetry_Int_Tables_number 65
_symmetry_space_group_name_Hall '-C 2 2'
_cell_length_a 4.775
_cell_length_b 4.802
_cell_length_c 10.725
_cell_angle_alpha 90.00
_cell_angle_beta 90.00
_cell_angle_gamma 90.00
loop_
_atom_site_label
_atom_site_type_symbol
_atom_site_fract_x
_atom_site_fract_y
_atom_site_fract_z
La1 La 0.000 0.000 0.177
Tc1 Tc 0.000 0.500 0.387
Rh1 Rh 0.000 0.000 0.500
Rh2 Rh 0.000 0.500 0.000